# GGA-PBE DyLuMgGa, relaxed
# density of states at the Fermi level = 10.0 states/eV per cell
# mass density = 7.6 g/cm3
# E = -3.76 eV per atom
# energy of formation = -319.3 meV per atom
data_DyLuMgGa
_chemical_formula_sum 'Dy4 Lu4 Mg4 Ga4'
_cell_length_a 7.231
_cell_length_b 7.231
_cell_length_c 7.231
_cell_angle_alpha 90.00
_cell_angle_beta 90.00
_cell_angle_gamma 90.00
_symmetry_space_group_name_H-M 'F -4 3 m'
_symmetry_Int_Tables_number 216
_symmetry_space_group_name_Hall 'F -4 2 3'
loop_
_atom_site_label
_atom_site_type_symbol
_atom_site_fract_x
_atom_site_fract_y
_atom_site_fract_z
Dy1 Dy 0.000 0.000 0.000
Lu1 Lu 0.000 0.000 0.500
Mg1 Mg 0.250 0.250 0.250
Ga1 Ga 0.250 0.250 0.750